VASP calculation (GGA-PBE) on an optimized crystal structure of La2AlCu4Ge3.

```
La2AlCu4Ge3
1.0
-2.9456 0.4329 2.9924
-3.0215 -0.5746 -2.8912
0.2708 -10.1665 1.7374
Ge Al Cu La
3 1 4 2
Cartesian
-1.2370 -8.6370 3.0092
0.1354 -5.0832 0.8687
-1.4758 -1.6003 -1.2212
-2.8482 -5.1541 0.9193
0.0000 0.0000 0.0000
-1.3015 -6.2158 2.5954
-1.4113 -4.0215 -0.8074
-2.9836 -0.0708 0.0506
-1.3057 -7.9866 -0.1299
-1.4071 -2.2507 1.9178
```

Summary:
E_tot in eV per atom: -4.920
Calculated density in g cm⁻³: 7.017
DFT formation energy in meV per atom: -537